No. 1
{"formula": "Ac2Nd2Mg3", "functional": "PBE", "state": "relaxed", "cell": [[4.026, 0.000, 0.534], [0.000, 3.955, 0.000], [0.071, 0.000, 14.899]], "species": ["Mg", "Mg", "Mg", "Nd", "Nd", "Ac", "Ac"], "fractional_positions": [[0.856, 0.000, 0.288], [0.144, 0.000, 0.712], [0.000, 0.000, 0.000], [0.703, 0.500, 0.594], [0.297, 0.500, 0.406], [0.573, 0.500, 0.855], [0.427, 0.500, 0.145]], "rho_g_cm3": 5.7, "formation_energy_kj_per_mol_fu": 8, "sg": "Cmmm, No. 65"}

No. 2
{"formula": "CeErCo", "functional": "PBE", "state": "relaxed", "cell": [[3.339, 0.000, 0.000], [0.000, 3.339, 0.000], [-1.669, -1.669, 6.186]], "species": ["Er", "Ce", "Co"], "fractional_positions": [[0.035, 0.035, 0.071], [0.294, 0.294, 0.589], [0.670, 0.670, 0.340]], "rho_g_cm3": 8.8, "formation_energy_kj_per_mol_fu": -21, "sg": "I4mm, No. 107"}

No. 3
{"formula": "Sr2PtPb", "functional": "PBE", "state": "relaxed", "cell": [[4.581, 0.000, 0.000], [0.000, 4.885, -0.005], [0.000, 2.446, 5.768]], "species": ["Pb", "Sr", "Sr", "Pt"], "fractional_positions": [[0.000, 0.689, 0.498], [0.500, 0.275, 0.325], [0.000, 0.987, 0.902], [0.500, 0.549, 0.776]], "rho_g_cm3": 7.4, "formation_energy_kj_per_mol_fu": -228, "sg": "Amm2, No. 38"}

No. 4
{"formula": "CrCuOs2", "functional": "PBE", "state": "relaxed", "cell": [[6.919, 0.000, 0.000], [0.000, 6.919, 0.000], [3.459, 3.459, 2.514]], "species": ["Cu", "Cu", "Os", "Os", "Os", "Os", "Cr", "Cr"], "fractional_positions": [[0.750, 0.250, 0.500], [0.000, 0.000, 0.000], [0.574, 0.125, 0.250], [0.375, 0.426, 0.750], [0.176, 0.625, 0.250], [0.875, 0.824, 0.750], [0.500, 0.500, 0.000], [0.250, 0.750, 0.500]], "rho_g_cm3": 13.7, "formation_energy_kj_per_mol_fu": 306, "sg": "I-42d, No. 122"}